Entry 1:
Density functional theory data (PBE-GGA) for Nd3SnAsCl after structural relaxation.

a = 4.2692 Å, b = 7.4965 Å, c = 11.2986 Å
α = 102.07°, β = 90.00°, γ = 90.00°
With the nearest neighbours (Å) after each atom.
Atoms (fractional coordinates):
Nd: 0.2500 0.7250 0.4986  3 Cl 2.95-3.05, 3 Sn 3.18-3.19
Nd: 0.7500 0.0464 0.1506  1 Cl 3.00, 3 As 3.01-3.02, 2 Sn 3.33
Nd: 0.7500 0.5462 0.1591  3 As 3.03-3.05, 1 Cl 3.05, 2 Sn 3.27
Nd: 0.7500 0.2750 0.5014  3 Cl 2.95-3.05, 3 Sn 3.18-3.19
Nd: 0.2500 0.4538 0.8409  3 As 3.03-3.05, 1 Cl 3.05, 2 Sn 3.27
Nd: 0.2500 0.9536 0.8494  1 Cl 3.00, 3 As 3.01-3.02, 2 Sn 3.33
Sn: 0.7500 0.6540 0.6924  7 Nd 3.18-3.33
Sn: 0.2500 0.3460 0.3076  7 Nd 3.18-3.33
As: 0.2500 0.7655 0.0598  6 Nd 3.01-3.05
As: 0.7500 0.2345 0.9402  6 Nd 3.01-3.05
Cl: 0.2500 0.1234 0.6313  5 Nd 2.95-3.05
Cl: 0.7500 0.8766 0.3687  5 Nd 2.95-3.05

Results
**DOS at the Fermi energy**: 6.5 states/eV/cell
**Formation energy from raw total energies**: -1.260 eV/atom
**SG**: No. 11
**Size of the total moment**: 0.00 μB per cell
**Calculated density**: 6.22 g/cm3


Entry 2:
Density functional theory data (PBE-GGA) for Nd3TeAsCl after structural relaxation.

a = 4.2809 Å, b = 8.8491 Å, c = 9.6754 Å
α = 98.71°, β = 90.00°, γ = 90.00°
With the nearest neighbours (Å) after each atom.
Atoms (fractional coordinates):
Nd: 0.7500 0.8791 0.1348  1 Cl 2.81, 2 As 2.98
Nd: 0.2500 0.1209 0.8652  1 Cl 2.81, 2 As 2.98
Nd: 0.2500 0.6886 0.4664  2 Cl 2.82, 1 As 2.98
Nd: 0.7500 0.3114 0.5336  2 Cl 2.82, 1 As 2.98
Nd: 0.7500 0.4170 0.1508  3 As 2.93-2.97, 2 Te 3.23
Nd: 0.2500 0.5830 0.8492  3 As 2.93-2.97, 2 Te 3.23
Te: 0.2500 0.1604 0.2087  5 Nd 3.23-3.29
Te: 0.7500 0.8396 0.7913  5 Nd 3.23-3.29
As: 0.2500 0.6497 0.1551  6 Nd 2.93-2.98
As: 0.7500 0.3503 0.8449  6 Nd 2.93-2.98
Cl: 0.2500 0.1162 0.5744  3 Nd 2.81-2.82
Cl: 0.7500 0.8838 0.4256  3 Nd 2.81-2.82

Results
**DOS at the Fermi energy**: 8.1 states/eV/cell
**Formation energy from raw total energies**: -1.406 eV/atom
**SG**: No. 11
**Size of the total moment**: 0.68 μB per cell
**Calculated density**: 6.15 g/cm3


Entry 3:
Density functional theory data (PBE-GGA) for Nd6Te3As2Cl after structural relaxation.

a = 4.3289 Å, b = 8.8160 Å, c = 9.8167 Å
α = 104.11°, β = 102.74°, γ = 90.00°
With the nearest neighbours (Å) after each atom.
Atoms (fractional coordinates):
Nd: 0.3338 0.8927 0.6676  2 As 2.94, 1 Cl 3.09, 3 Te 3.16-3.24
Nd: 0.6742 0.5662 0.3484  3 As 2.95-2.96, 3 Te 3.24
Nd: 0.6662 0.1073 0.3324  2 As 2.94, 1 Cl 3.09, 3 Te 3.16-3.24
Nd: 0.0100 0.2428 0.0200  1 As 2.91, 2 Cl 3.02, 3 Te 3.18-3.23
Nd: 0.9900 0.7572 0.9800  1 As 2.91, 2 Cl 3.02, 3 Te 3.18-3.23
Nd: 0.3258 0.4338 0.6516  3 As 2.95-2.96, 3 Te 3.24
Te: 0.5000 0.5000 0.0000  6 Nd 3.18-3.24
Te: 0.8361 0.1668 0.6722  6 Nd 3.16-3.24
Te: 0.1639 0.8332 0.3278  6 Nd 3.16-3.24
As: 0.8332 0.6669 0.6664  6 Nd 2.91-2.96
As: 0.1668 0.3331 0.3336  6 Nd 2.91-2.96
Cl: 0.5000 0.0000 0.0000  6 Nd 3.02-3.09

Results
**DOS at the Fermi energy**: 5.4 states/eV/cell
**Formation energy from raw total energies**: -1.486 eV/atom
**SG**: No. 12
**Size of the total moment**: 0.00 μB per cell
**Calculated density**: 6.73 g/cm3


Entry 4:
Density functional theory data (PBE-GGA) for Nd4Te2AsCl after structural relaxation.

a = 4.3179 Å, b = 7.6408 Å, c = 7.4885 Å
α = 71.05°, β = 90.00°, γ = 90.00°
With the nearest neighbours (Å) after each atom.
Atoms (fractional coordinates):
Nd: 0.0000 0.7225 0.7478  1 As 2.90, 2 Cl 3.01, 2 Te 3.17
Nd: 0.0000 0.2775 0.2522  1 As 2.90, 2 Cl 3.01, 2 Te 3.17
Nd: 0.5000 0.7185 0.2695  2 As 2.93, 1 Cl 3.01, 3 Te 3.17-3.25
Nd: 0.5000 0.2815 0.7305  2 As 2.93, 1 Cl 3.01, 3 Te 3.17-3.25
Te: 0.0000 0.0000 0.0000  6 Nd 3.25-3.27
Te: 0.5000 0.0000 0.5000  6 Nd 3.17
As: 0.0000 0.5000 0.5000  6 Nd 2.90-2.93
Cl: 0.5000 0.5000 0.0000  6 Nd 3.01

Results
**DOS at the Fermi energy**: 3.4 states/eV/cell
**Formation energy from raw total energies**: -1.460 eV/atom
**SG**: No. 10
**Size of the total moment**: 0.00 μB per cell
**Calculated density**: 6.70 g/cm3


Copy entry 3 word for word.
Density functional theory data (PBE-GGA) for Nd6Te3As2Cl after structural relaxation.

a = 4.3289 Å, b = 8.8160 Å, c = 9.8167 Å
α = 104.11°, β = 102.74°, γ = 90.00°
With the nearest neighbours (Å) after each atom.
Atoms (fractional coordinates):
Nd: 0.3338 0.8927 0.6676  2 As 2.94, 1 Cl 3.09, 3 Te 3.16-3.24
Nd: 0.6742 0.5662 0.3484  3 As 2.95-2.96, 3 Te 3.24
Nd: 0.6662 0.1073 0.3324  2 As 2.94, 1 Cl 3.09, 3 Te 3.16-3.24
Nd: 0.0100 0.2428 0.0200  1 As 2.91, 2 Cl 3.02, 3 Te 3.18-3.23
Nd: 0.9900 0.7572 0.9800  1 As 2.91, 2 Cl 3.02, 3 Te 3.18-3.23
Nd: 0.3258 0.4338 0.6516  3 As 2.95-2.96, 3 Te 3.24
Te: 0.5000 0.5000 0.0000  6 Nd 3.18-3.24
Te: 0.8361 0.1668 0.6722  6 Nd 3.16-3.24
Te: 0.1639 0.8332 0.3278  6 Nd 3.16-3.24
As: 0.8332 0.6669 0.6664  6 Nd 2.91-2.96
As: 0.1668 0.3331 0.3336  6 Nd 2.91-2.96
Cl: 0.5000 0.0000 0.0000  6 Nd 3.02-3.09

Results
**DOS at the Fermi energy**: 5.4 states/eV/cell
**Formation energy from raw total energies**: -1.486 eV/atom
**SG**: No. 12
**Size of the total moment**: 0.00 μB per cell
**Calculated density**: 6.73 g/cm3


What is the size of the total moment in the first record?
0.00 μB per cell


What is the formula in the second record?
Nd3TeAsCl